1.
DFT (PBE) results for RbNaSr after structural relaxation.

Output
- energy (eV per atom) = -1.220
- symmetry = Amm2 (38)
- formation enthalpy at 0 K (eV per formula unit) = 0.31
- excess energy over the best structure of this formula in the dataset (meV per atom) = 29
- N(E_F) (states/eV per cell) = 11.06

Cell: 21.0253 4.4164 7.5725 Å, 90.00 90.00 90.00°
Sites, in units of the cell vectors:
Rb 0.1673 0.0000 0.0000
Rb 0.1673 0.5000 0.5000
Rb 0.8327 0.0000 0.0000
Rb 0.8327 0.5000 0.5000
Na 0.0000 0.0000 0.6602
Na 0.0000 0.5000 0.1602
Na 0.5000 0.0000 0.9863
Na 0.5000 0.5000 0.4863
Sr 0.3556 0.0000 0.6509
Sr 0.3556 0.5000 0.1509
Sr 0.6444 0.0000 0.6509
Sr 0.6444 0.5000 0.1509

2.
DFT (PBE) results for RbNaSr2 after structural relaxation.

Output
- energy (eV per atom) = -1.275
- symmetry = P4/mmm (123)
- formation enthalpy at 0 K (eV per formula unit) = 0.55
- N(E_F) (states/eV per cell) = 4.50

Cell: 5.9203 5.9203 6.5621 Å, 90.00 90.00 90.00°
Sites, in units of the cell vectors:
Rb 0.0000 0.0000 0.0000
Na 0.5000 0.5000 0.0000
Sr 0.0000 0.5000 0.5000
Sr 0.5000 0.0000 0.5000

3.
DFT (PBE) results for RbNa14Sr after structural relaxation.

Output
- energy (eV per atom) = -1.286
- symmetry = P4/mmm (123)
- formation enthalpy at 0 K (eV per formula unit) = 0.53
- N(E_F) (states/eV per cell) = 9.42

Cell: 8.0947 8.0947 10.0527 Å, 90.00 90.00 90.00°
Sites, in units of the cell vectors:
Rb 0.0000 0.0000 0.0000
Na 0.0000 0.0000 0.5000
Na 0.0000 0.5000 0.0000
Na 0.0000 0.5000 0.5000
Na 0.2550 0.2550 0.2777
Na 0.2550 0.2550 0.7223
Na 0.2550 0.7450 0.2777
Na 0.2550 0.7450 0.7223
Na 0.5000 0.0000 0.0000
Na 0.5000 0.0000 0.5000
Na 0.5000 0.5000 0.5000
Na 0.7450 0.2550 0.2777
Na 0.7450 0.2550 0.7223
Na 0.7450 0.7450 0.2777
Na 0.7450 0.7450 0.7223
Sr 0.5000 0.5000 0.0000

4.
DFT (PBE) results for Rb2NaSr2 after structural relaxation.

Output
- energy (eV per atom) = -1.079
- symmetry = P4/mbm (127)
- formation enthalpy at 0 K (eV per formula unit) = 1.22
- excess energy over the best structure of this formula in the dataset (meV per atom) = 37
- N(E_F) (states/eV per cell) = 9.63

Cell: 9.5220 9.5220 7.1541 Å, 90.00 90.00 90.00°
Sites, in units of the cell vectors:
Rb 0.1423 0.3577 0.0000
Rb 0.3577 0.8577 0.0000
Rb 0.6423 0.1423 0.0000
Rb 0.8577 0.6423 0.0000
Na 0.0000 0.0000 0.0000
Na 0.5000 0.5000 0.0000
Sr 0.1716 0.6716 0.5000
Sr 0.3284 0.1716 0.5000
Sr 0.6716 0.8284 0.5000
Sr 0.8284 0.3284 0.5000

5.
DFT (PBE) results for Rb2NaSrTc after structural relaxation.

Output
- energy (eV per atom) = -1.928
- symmetry = P4/mmm (123)
- formation enthalpy at 0 K (eV per formula unit) = 5.66
- N(E_F) (states/eV per cell) = 5.19

Cell: 7.6173 7.6173 5.4730 Å, 90.00 90.00 90.00°
Sites, in units of the cell vectors:
Rb 0.0000 0.5000 0.0000
Rb 0.5000 0.0000 0.0000
Na 0.0000 0.0000 0.5000
Sr 0.5000 0.5000 0.0000
Tc 0.5000 0.5000 0.5000

6.
DFT (PBE) results for RbNaSr2Tl after structural relaxation.

Output
- energy (eV per atom) = -1.609
- symmetry = P4/mmm (123)
- formation enthalpy at 0 K (eV per formula unit) = -0.03
- N(E_F) (states/eV per cell) = 6.55

Cell: 6.5606 6.5606 6.3313 Å, 90.00 90.00 90.00°
Sites, in units of the cell vectors:
Rb 0.0000 0.0000 0.0000
Na 0.5000 0.5000 0.0000
Sr 0.0000 0.5000 0.5000
Sr 0.5000 0.0000 0.5000
Tl 0.5000 0.5000 0.5000

7.
DFT (PBE) results for RbNa2SrTl after structural relaxation.

Output
- energy (eV per atom) = -1.516
- symmetry = P4/mmm (123)
- formation enthalpy at 0 K (eV per formula unit) = 0.07
- N(E_F) (states/eV per cell) = 3.87

Cell: 6.3040 6.3040 6.4033 Å, 90.00 90.00 90.00°
Sites, in units of the cell vectors:
Rb 0.0000 0.0000 0.0000
Na 0.0000 0.5000 0.5000
Na 0.5000 0.0000 0.5000
Sr 0.5000 0.5000 0.0000
Tl 0.5000 0.5000 0.5000

8.
DFT (PBE) results for RbNaSrTl after structural relaxation.

Output
- energy (eV per atom) = -1.580
- symmetry = F-43m (216)
- formation enthalpy at 0 K (eV per formula unit) = 0.01
- N(E_F) (states/eV per cell) = 18.26

Cell: 8.8275 8.8275 8.8275 Å, 90.00 90.00 90.00°
Sites, in units of the cell vectors:
Rb 0.0000 0.0000 0.0000
Rb 0.0000 0.5000 0.5000
Rb 0.5000 0.0000 0.5000
Rb 0.5000 0.5000 0.0000
Na 0.2500 0.2500 0.2500
Na 0.2500 0.7500 0.7500
Na 0.7500 0.2500 0.7500
Na 0.7500 0.7500 0.2500
Sr 0.0000 0.0000 0.5000
Sr 0.0000 0.5000 0.0000
Sr 0.5000 0.0000 0.0000
Sr 0.5000 0.5000 0.5000
Tl 0.2500 0.2500 0.7500
Tl 0.2500 0.7500 0.2500
Tl 0.7500 0.2500 0.2500
Tl 0.7500 0.7500 0.7500

9.
DFT (PBE) results for RbNaSrZn2 after structural relaxation.

Output
- energy (eV per atom) = -0.766
- symmetry = P4/mmm (123)
- formation enthalpy at 0 K (eV per formula unit) = 2.68
- N(E_F) (states/eV per cell) = 3.37

Cell: 6.1289 6.1289 6.0705 Å, 90.00 90.00 90.00°
Sites, in units of the cell vectors:
Rb 0.0000 0.0000 0.0000
Na 0.0000 0.0000 0.5000
Sr 0.5000 0.5000 0.5000
Zn 0.0000 0.5000 0.0000
Zn 0.5000 0.0000 0.0000

10.
DFT (PBE) results for RbNaTa3 after structural relaxation.

Output
- energy (eV per atom) = -4.781
- symmetry = Pm-3m (221)
- formation enthalpy at 0 K (eV per formula unit) = 13.94
- excess energy over the best structure of this formula in the dataset (meV per atom) = 0
- N(E_F) (states/eV per cell) = 3.74

Cell: 5.0022 5.0022 5.0022 Å, 90.00 90.00 90.00°
Sites, in units of the cell vectors:
Rb 0.0000 0.0000 0.0000
Na 0.5000 0.5000 0.5000
Ta 0.0000 0.5000 0.5000
Ta 0.5000 0.0000 0.5000
Ta 0.5000 0.5000 0.0000

11.
DFT (PBE) results for Rb3NaTa after structural relaxation.

Output
- energy (eV per atom) = -1.974
- symmetry = Pm-3m (221)
- formation enthalpy at 0 K (eV per formula unit) = 6.21
- excess energy over the best structure of this formula in the dataset (meV per atom) = 0
- N(E_F) (states/eV per cell) = 0.68

Cell: 7.0896 7.0896 7.0896 Å, 90.00 90.00 90.00°
Sites, in units of the cell vectors:
Rb 0.0000 0.0000 0.5000
Rb 0.0000 0.5000 0.0000
Rb 0.5000 0.0000 0.0000
Na 0.5000 0.5000 0.5000
Ta 0.0000 0.0000 0.0000

12.
DFT (PBE) results for RbNaTa3 after structural relaxation.

Output
- energy (eV per atom) = -4.396
- symmetry = Pm-3m (221)
- formation enthalpy at 0 K (eV per formula unit) = 15.86
- excess energy over the best structure of this formula in the dataset (meV per atom) = 385
- N(E_F) (states/eV per cell) = 8.37

Cell: 4.9184 4.9184 4.9184 Å, 90.00 90.00 90.00°
Sites, in units of the cell vectors:
Rb 0.0000 0.0000 0.0000
Na 0.5000 0.5000 0.5000
Ta 0.0000 0.0000 0.5000
Ta 0.0000 0.5000 0.0000
Ta 0.5000 0.0000 0.0000

13.
DFT (PBE) results for RbNaTaTe4 after structural relaxation.

Output
- energy (eV per atom) = -4.326
- symmetry = P2_1/m (11)
- N(E_F) (states/eV per cell) = 3.55

Cell: 7.7576 6.9125 10.6954 Å, 90.00 107.77 90.00°
Sites, in units of the cell vectors:
Rb 0.2300 0.2500 0.4343
Rb 0.7700 0.7500 0.5657
Na 0.2533 0.2500 0.9548
Na 0.7467 0.7500 0.0452
Ta 0.2662 0.7500 0.1750
Ta 0.7338 0.2500 0.8250
Te 0.0593 0.7500 0.3285
Te 0.0946 0.7500 0.9265
Te 0.4746 0.5167 0.7623
Te 0.4746 0.9833 0.7623
Te 0.5254 0.0167 0.2377
Te 0.5254 0.4833 0.2377
Te 0.9054 0.2500 0.0735
Te 0.9407 0.2500 0.6715

14.
DFT (PBE) results for Rb2NaTaV after structural relaxation.

Output
- energy (eV per atom) = -2.746
- symmetry = P4/mmm (123)
- formation enthalpy at 0 K (eV per formula unit) = 10.50
- N(E_F) (states/eV per cell) = 9.82

Cell: 6.1718 6.1718 5.6967 Å, 90.00 90.00 90.00°
Sites, in units of the cell vectors:
Rb 0.0000 0.5000 0.0000
Rb 0.5000 0.0000 0.0000
Na 0.0000 0.0000 0.0000
Ta 0.5000 0.5000 0.5000
V 0.0000 0.0000 0.5000

15.
DFT (PBE) results for RbNaTaZn2 after structural relaxation.

Output
- energy (eV per atom) = -1.454
- symmetry = P4/mmm (123)
- formation enthalpy at 0 K (eV per formula unit) = 9.42
- N(E_F) (states/eV per cell) = 3.81

Cell: 5.5793 5.5793 5.3049 Å, 90.00 90.00 90.00°
Sites, in units of the cell vectors:
Rb 0.0000 0.0000 0.0000
Na 0.0000 0.0000 0.5000
Ta 0.5000 0.5000 0.5000
Zn 0.0000 0.5000 0.0000
Zn 0.5000 0.0000 0.0000

16.
DFT (PBE) results for RbNa2Tb after structural relaxation.

Output
- energy (eV per atom) = -1.671
- symmetry = R-3m (166)
- formation enthalpy at 0 K (eV per formula unit) = 1.55
- N(E_F) (states/eV per cell) = 12.75

Cell: 3.7140 3.7140 43.5506 Å, 90.00 90.00 120.00°
Sites, in units of the cell vectors:
Rb 0.0000 0.0000 0.0000
Rb 0.3333 0.6667 0.6667
Rb 0.6667 0.3333 0.3333
Na 0.0000 0.0000 0.4209
Na 0.0000 0.0000 0.5791
Na 0.3333 0.6667 0.0875
Na 0.3333 0.6667 0.2458
Na 0.6667 0.3333 0.7542
Na 0.6667 0.3333 0.9125
Tb 0.0000 0.0000 0.5000
Tb 0.3333 0.6667 0.1667
Tb 0.6667 0.3333 0.8333

17.
DFT (PBE) results for RbNa2Tc2 after structural relaxation.

Output
- energy (eV per atom) = -3.969
- symmetry = P4/mbm (127)
- formation enthalpy at 0 K (eV per formula unit) = 4.49
- excess energy over the best structure of this formula in the dataset (meV per atom) = 0
- N(E_F) (states/eV per cell) = 8.31

Cell: 9.4881 9.4881 2.8030 Å, 90.00 90.00 90.00°
Sites, in units of the cell vectors:
Rb 0.0000 0.0000 0.0000
Rb 0.5000 0.5000 0.0000
Na 0.1974 0.3026 0.5000
Na 0.3026 0.8026 0.5000
Na 0.6974 0.1974 0.5000
Na 0.8026 0.6974 0.5000
Tc 0.0819 0.5819 0.0000
Tc 0.4181 0.0819 0.0000
Tc 0.5819 0.9181 0.0000
Tc 0.9181 0.4181 0.0000

18.
DFT (PBE) results for RbNaTc3 after structural relaxation.

Output
- energy (eV per atom) = -3.537
- symmetry = Pm-3m (221)
- formation enthalpy at 0 K (eV per formula unit) = 15.70
- excess energy over the best structure of this formula in the dataset (meV per atom) = 467
- N(E_F) (states/eV per cell) = 5.71

Cell: 4.8118 4.8118 4.8118 Å, 90.00 90.00 90.00°
Sites, in units of the cell vectors:
Rb 0.0000 0.0000 0.0000
Na 0.5000 0.5000 0.5000
Tc 0.0000 0.0000 0.5000
Tc 0.0000 0.5000 0.0000
Tc 0.5000 0.0000 0.0000

19.
DFT (PBE) results for RbNa3Tc after structural relaxation.

Output
- energy (eV per atom) = -2.112
- symmetry = Pm-3m (221)
- formation enthalpy at 0 K (eV per formula unit) = 4.73
- excess energy over the best structure of this formula in the dataset (meV per atom) = 0
- N(E_F) (states/eV per cell) = 4.88

Cell: 6.0711 6.0711 6.0711 Å, 90.00 90.00 90.00°
Sites, in units of the cell vectors:
Rb 0.0000 0.0000 0.0000
Na 0.0000 0.5000 0.5000
Na 0.5000 0.0000 0.5000
Na 0.5000 0.5000 0.0000
Tc 0.5000 0.5000 0.5000

20.
DFT (PBE) results for RbNa3Tc after structural relaxation.

Output
- energy (eV per atom) = -1.530
- symmetry = Pm-3m (221)
- formation enthalpy at 0 K (eV per formula unit) = 7.64
- excess energy over the best structure of this formula in the dataset (meV per atom) = 582
- N(E_F) (states/eV per cell) = 6.26

Cell: 6.1030 6.1030 6.1030 Å, 90.00 90.00 90.00°
Sites, in units of the cell vectors:
Rb 0.0000 0.0000 0.0000
Na 0.0000 0.0000 0.5000
Na 0.0000 0.5000 0.0000
Na 0.5000 0.0000 0.0000
Tc 0.5000 0.5000 0.5000

21.
DFT (PBE) results for RbNaTc3 after structural relaxation.

Output
- energy (eV per atom) = -4.004
- symmetry = Pm-3m (221)
- formation enthalpy at 0 K (eV per formula unit) = 13.36
- excess energy over the best structure of this formula in the dataset (meV per atom) = 0
- N(E_F) (states/eV per cell) = 6.72

Cell: 5.1379 5.1379 5.1379 Å, 90.00 90.00 90.00°
Sites, in units of the cell vectors:
Rb 0.0000 0.0000 0.0000
Na 0.5000 0.5000 0.5000
Tc 0.0000 0.5000 0.5000
Tc 0.5000 0.0000 0.5000
Tc 0.5000 0.5000 0.0000

22.
DFT (PBE) results for RbNa2Tc2 after structural relaxation.

Output
- energy (eV per atom) = -3.672
- symmetry = I4/mmm (139)
- formation enthalpy at 0 K (eV per formula unit) = 5.98
- excess energy over the best structure of this formula in the dataset (meV per atom) = 297
- N(E_F) (states/eV per cell) = 8.65

Cell: 5.7490 5.7490 9.7372 Å, 90.00 90.00 90.00°
Sites, in units of the cell vectors:
Rb 0.0000 0.0000 0.0000
Rb 0.5000 0.5000 0.5000
Na 0.0000 0.5000 0.2500
Na 0.0000 0.5000 0.7500
Na 0.5000 0.0000 0.2500
Na 0.5000 0.0000 0.7500
Tc 0.0000 0.0000 0.3947
Tc 0.0000 0.0000 0.6053
Tc 0.5000 0.5000 0.1053
Tc 0.5000 0.5000 0.8947

23.
DFT (PBE) results for RbNa2ZrTc after structural relaxation.

Output
- energy (eV per atom) = -3.755
- symmetry = P4/mmm (123)
- formation enthalpy at 0 K (eV per formula unit) = 3.75
- N(E_F) (states/eV per cell) = 4.18

Cell: 6.0422 6.0422 4.7457 Å, 90.00 90.00 90.00°
Sites, in units of the cell vectors:
Rb 0.0000 0.0000 0.0000
Na 0.0000 0.5000 0.5000
Na 0.5000 0.0000 0.5000
Zr 0.5000 0.5000 0.0000
Tc 0.5000 0.5000 0.5000

24.
DFT (PBE) results for RbNa4Te4 after structural relaxation.

Output
- energy (eV per atom) = -2.777
- symmetry = P4_2/n (86)
- N(E_F) (states/eV per cell) = 10.82

Cell: 10.3509 10.3509 6.4262 Å, 90.00 90.00 90.00°
Sites, in units of the cell vectors:
Rb 0.2500 0.2500 0.2500
Rb 0.7500 0.7500 0.7500
Na 0.1021 0.6237 0.1407
Na 0.1237 0.8979 0.6408
Na 0.3763 0.6021 0.6408
Na 0.3979 0.8763 0.1407
Na 0.6021 0.1237 0.8592
Na 0.6237 0.3979 0.3592
Na 0.8763 0.1021 0.3592
Na 0.8979 0.3763 0.8592
Te 0.0744 0.5892 0.6435
Te 0.0892 0.9256 0.1435
Te 0.4108 0.5744 0.1435
Te 0.4256 0.9108 0.6435
Te 0.5744 0.0892 0.3565
Te 0.5892 0.4256 0.8565
Te 0.9108 0.0744 0.8565
Te 0.9256 0.4108 0.3565

25.
DFT (PBE) results for Rb3NaTe after structural relaxation.

Output
- energy (eV per atom) = -1.965
- symmetry = Pm-3m (221)
- excess energy over the best structure of this formula in the dataset (meV per atom) = 0
- N(E_F) (states/eV per cell) = 0.00

Cell: 7.0801 7.0801 7.0801 Å, 90.00 90.00 90.00°
Sites, in units of the cell vectors:
Rb 0.0000 0.0000 0.5000
Rb 0.0000 0.5000 0.0000
Rb 0.5000 0.0000 0.0000
Na 0.5000 0.5000 0.5000
Te 0.0000 0.0000 0.0000

26.
DFT (PBE) results for RbNa2Te6 after structural relaxation.

Output
- energy (eV per atom) = -2.987
- symmetry = C2/m (12)
- N(E_F) (states/eV per cell) = 3.58

Cell: 8.9144 8.9144 4.5658 Å, 104.18 104.18 74.15°
Sites, in units of the cell vectors:
Rb 0.0000 0.0000 0.0000
Na 0.3394 0.3394 0.2900
Na 0.6606 0.6606 0.7100
Te 0.0972 0.5629 0.7926
Te 0.2734 0.7266 0.5000
Te 0.4371 0.9028 0.2074
Te 0.5629 0.0972 0.7926
Te 0.7266 0.2734 0.5000
Te 0.9028 0.4371 0.2074